1.
A plane-wave DFT calculation with PBE was carried out for a relaxed Dy6Sb3Ru crystal.

a b c (Å): 7.5132 9.1021 9.1021
angles (deg): 104.19 90.00 90.00
Fractional positions:
Dy: 0.6705 0.6323 0.7076
Sb: 0.3707 0.3981 0.6019
Dy: 0.1705 0.3677 0.2924
Dy: 0.1762 0.4042 0.9037
Ru: 0.4914 0.8609 0.1391
Sb: 0.8707 0.6019 0.3981
Dy: 0.2022 0.7550 0.2450
Ru: 0.9914 0.1391 0.8609
Sb: 0.9889 0.7067 0.9298
Dy: 0.6705 0.2924 0.3677
Dy: 0.1762 0.0963 0.5958
Sb: 0.4889 0.2933 0.0702
Sb: 0.4889 0.9298 0.7067
Dy: 0.6762 0.9037 0.4042
Sb: 0.9889 0.0702 0.2933
Dy: 0.6762 0.5958 0.0963
Dy: 0.7022 0.2450 0.7550
Dy: 0.2499 0.0059 0.9941
Dy: 0.1705 0.7076 0.6323
Dy: 0.7499 0.9941 0.0059

## Properties
Formation energy from raw total energies (meV/atom): -550
M_tot (μB per atom): 0.00
Mass density (g cm⁻³): 7.932
Final energy (eV per atom): -5.48

2.
A plane-wave DFT calculation with PBE was carried out for a relaxed DySb12Ru4 crystal.

a b c (Å): 8.1193 8.1193 8.1193
angles (deg): 109.47 109.47 109.47
Fractional positions:
Sb: 0.4955 0.1572 0.3383
Sb: 0.8428 0.3383 0.1811
Sb: 0.1572 0.3383 0.4955
Sb: 0.1572 0.6617 0.8189
Sb: 0.5045 0.8428 0.6617
Ru: 0.5000 0.5000 0.5000
Ru: 0.5000 0.0000 0.0000
Ru: 0.0000 0.5000 0.0000
Dy: 0.0000 0.0000 0.0000
Sb: 0.6617 0.5045 0.8428
Sb: 0.6617 0.8189 0.1572
Sb: 0.3383 0.1811 0.8428
Sb: 0.8428 0.6617 0.5045
Sb: 0.3383 0.4955 0.1572
Sb: 0.1811 0.8428 0.3383
Ru: 0.0000 0.0000 0.5000
Sb: 0.8189 0.1572 0.6617

## Properties
Formation energy from raw total energies (meV/atom): -284
M_tot (μB per atom): 0.00
Mass density (g cm⁻³): 8.173
Final energy (eV per atom): -5.65

3.
A plane-wave DFT calculation with PBE was carried out for a relaxed Dy8SbRu2 crystal.

a b c (Å): 5.5679 7.8041 7.8041
angles (deg): 112.95 97.50 97.50
Fractional positions:
Dy: 0.0873 0.3320 0.0692
Dy: 0.9127 0.6680 0.9308
Dy: 0.9127 0.9308 0.6680
Dy: 0.5000 0.7544 0.2456
Sb: 0.5000 0.0000 0.0000
Dy: 0.2960 0.6125 0.6125
Dy: 0.7040 0.3875 0.3875
Ru: 0.0000 0.3104 0.6896
Dy: 0.5000 0.2456 0.7544
Ru: 0.0000 0.6896 0.3104
Dy: 0.0873 0.0692 0.3320

## Properties
Formation energy from raw total energies (meV/atom): -335
M_tot (μB per atom): 0.00
Mass density (g cm⁻³): 8.887
Final energy (eV per atom): -5.74

- Which of these has the highest formation energy from raw total energies?
  DySb12Ru4

- Number 3 is which compound?
  Dy8SbRu2

- Number 2 is which compound?
  DySb12Ru4